RbReAu3, relaxed, DFT PBE; V = 27.554 A^3/atom; formation energy from the elements = 0.630 eV per atom; VASP energy = -20.1 eV per formula unit; N(E_F) = 5.05 states/eV/cell; spin magnetization = 0.9 μB/f.u.; E above lowest polymorph = 0 meV per atom
1.0
5.165 0.000 0.000
0.000 5.165 0.000
0.000 0.000 5.165
Rb Re Au
1 1 3
Cartesian
0.000 0.000 0.000
2.582 2.582 2.582
0.000 2.582 2.582
2.582 0.000 2.582
2.582 2.582 0.000

***

Sc5ZnRu, relaxed, DFT PBE; V = 21.638 A^3/atom; formation energy from the elements = -0.199 eV per atom; VASP energy = -43.6 eV per formula unit; N(E_F) = 15.99 states/eV/cell; spin magnetization = 0.0 μB/f.u.
1.0
4.064 -4.191 0.000
4.064 4.191 0.000
-0.745 0.000 8.893
Sc Zn Ru
10 2 2
Cartesian
2.558 2.366 3.064
3.505 2.991 6.670
1.853 0.740 8.835
5.197 2.366 1.383
2.226 -0.740 4.388
5.157 0.740 4.505
2.186 -2.366 7.511
5.529 -0.740 0.058
3.878 -2.991 2.223
4.824 -2.366 5.829
3.505 0.198 6.670
3.878 -0.198 2.223
0.000 0.000 0.000
-0.372 0.000 4.447

***

MnGaSiRhSe, relaxed, DFT PBE; V = 16.329 A^3/atom; formation energy from raw total energies = -0.21 eV/atom; VASP energy = -29.5 eV per formula unit; N(E_F) = 3.12 states/eV/cell; spin magnetization = 2.0 μB/f.u.; E above lowest polymorph = 63 meV per atom
1.0
6.952 -1.562 0.000
6.952 1.562 0.000
-1.102 0.000 3.759
Mn Ga Si Rh Se
1 1 1 1 1
Cartesian
0.000 0.000 0.000
6.456 0.000 1.894
8.858 0.000 0.554
1.635 0.000 2.516
4.043 0.000 3.219

***

BaAl2Br, relaxed, DFT PBE; V = 31.993 A^3/atom; formation energy from raw total energies = -0.07 eV/atom; VASP energy = -11.4 eV per formula unit; N(E_F) = 3.06 states/eV/cell; spin magnetization = 0.0 μB/f.u.; E above lowest polymorph = 463 meV per atom
1.0
3.054 -5.585 0.000
3.054 5.585 0.000
0.000 0.000 3.751
Ba Al Br
1 2 1
Cartesian
0.000 0.000 0.000
1.527 2.793 1.876
1.527 -2.793 1.876
3.054 0.000 0.000